No. 1
Below is CuSiAg2S4 after structural relaxation, with properties calculated at the PBE level.

Cell: 6.5747 6.5747 6.5747 Å, 129.43 129.43 74.32°
Atoms (fractional coordinates):
Cu (0.0000, 0.0000, 0.0000)
Si (0.2500, 0.7500, 0.5000)
Ag (0.5000, 0.5000, 0.0000)
Ag (0.7500, 0.2500, 0.5000)
S (0.1328, 0.0717, 0.4644)
S (0.3316, 0.8672, 0.9389)
S (0.6073, 0.6684, 0.5356)
S (0.9283, 0.3927, 0.0611)

Properties
DOS at the Fermi energy: 8.1 states/eV/cell
Magnetization: 0.0 μB/cell


No. 2
Below is CuAg2SnS4 after structural relaxation, with properties calculated at the PBE level.

Cell: 6.8658 6.8658 6.8658 Å, 130.55 130.55 72.54°
Atoms (fractional coordinates):
Cu (0.0000, 0.0000, 0.0000)
Ag (0.5000, 0.5000, 0.0000)
Ag (0.7500, 0.2500, 0.5000)
Sn (0.2500, 0.7500, 0.5000)
S (0.1189, 0.6560, 0.0124)
S (0.3440, 0.3564, 0.4629)
S (0.6436, 0.1065, 0.9876)
S (0.8935, 0.8811, 0.5371)

Properties
DOS at the Fermi energy: 6.4 states/eV/cell
Magnetization: 0.0 μB/cell


No. 3
Below is Cu2Ag2SnS4 after structural relaxation, with properties calculated at the PBE level.

Cell: 6.6631 6.6631 9.5269 Å, 127.82 127.82 33.25°
Atoms (fractional coordinates):
Cu (0.1744, 0.1744, 0.3935)
Cu (0.8256, 0.8256, 0.6065)
Ag (0.3510, 0.3510, 0.2335)
Ag (0.6490, 0.6490, 0.7665)
Sn (0.5000, 0.5000, 0.0000)
S (0.0548, 0.0548, 0.8527)
S (0.2441, 0.2441, 0.6803)
S (0.7559, 0.7559, 0.3197)
S (0.9452, 0.9452, 0.1473)

Properties
DOS at the Fermi energy: 2.7 states/eV/cell
Magnetization: 0.0 μB/cell


No. 4
Below is CuAgSnS4 after structural relaxation, with properties calculated at the PBE level.

Cell: 7.4081 7.4081 7.4081 Å, 119.88 118.38 91.52°
Atoms (fractional coordinates):
Cu (0.5000, 0.0000, 0.0000)
Cu (0.5000, 0.5000, 0.5000)
Ag (0.1077, 0.3577, 0.7500)
Ag (0.8923, 0.6423, 0.2500)
Sn (0.0000, 0.0000, 0.0000)
Sn (0.5000, 0.0000, 0.5000)
S (0.2669, 0.2574, 0.4904)
S (0.2669, 0.7765, 0.0096)
S (0.2797, 0.2451, 0.0346)
S (0.2895, 0.7549, 0.5346)
S (0.7105, 0.2451, 0.4654)
S (0.7203, 0.7549, 0.9654)
S (0.7331, 0.2235, 0.9904)
S (0.7331, 0.7426, 0.5096)

Properties
DOS at the Fermi energy: 7.8 states/eV/cell
Magnetization: 0.0 μB/cell


No. 5
Below is CuAgSn2S4 after structural relaxation, with properties calculated at the PBE level.

Cell: 6.9216 6.4704 6.1814 Å, 66.29 58.86 54.85°
Atoms (fractional coordinates):
Cu (0.0000, 0.0000, 0.0000)
Ag (0.4950, 0.4950, 0.5050)
Sn (0.2619, 0.2619, 0.2381)
Sn (0.7619, 0.7619, 0.7381)
S (0.0924, 0.6317, 0.9076)
S (0.3297, 0.8716, 0.1284)
S (0.6317, 0.0924, 0.3683)
S (0.8716, 0.3297, 0.6703)

Properties
DOS at the Fermi energy: 1.4 states/eV/cell
Magnetization: 0.0 μB/cell


No. 6
Below is Ta2CuAg2S6 after structural relaxation, with properties calculated at the PBE level.

Cell: 6.2432 6.2432 7.7866 Å, 100.68 100.68 119.97°
Atoms (fractional coordinates):
Ta (0.1419, 0.8581, 0.0000)
Ta (0.8581, 0.1419, 0.0000)
Cu (0.5000, 0.5000, 0.0000)
Ag (0.3291, 0.6709, 0.5000)
Ag (0.6709, 0.3291, 0.5000)
S (0.0297, 0.0297, 0.7758)
S (0.2483, 0.5907, 0.1750)
S (0.4093, 0.7517, 0.8250)
S (0.5907, 0.2483, 0.1750)
S (0.7517, 0.4093, 0.8250)
S (0.9703, 0.9703, 0.2242)

Properties
DOS at the Fermi energy: 3.4 states/eV/cell
Magnetization: 1.0 μB/cell


| no. | formation energy from raw total energies (eV per atom) |
| --- | --- |
| 1 | -0.32 |
| 2 | -0.22 |
| 3 | -0.15 |
| 4 | -0.15 |
| 5 | -0.24 |
| 6 | -0.52 |